Li2TlCl: relaxed, PBE.

a = 5.5081 Å, b = 5.5081 Å, c = 5.5081 Å
α = 132.28°, β = 132.28°, γ = 69.79°
Positions (direct):
1 Li 0.5000 0.5000 0.0000
2 Li 0.0000 0.0000 0.0000
3 Tl 0.2500 0.7500 0.5000
4 Cl 0.7500 0.2500 0.5000

Total moment = 0.00 μB per atom
Uncorrected formation energy = -47.52 kJ/mol of atoms